1.
AcLaCl2 | PBE | relaxed

Results
ΔE_f (raw): -1.372 eV/atom

Cell: 10.426 10.426 10.426 Å, 21.30 21.30 21.30°
Fractional coordinates of all 4 atoms:
Ac 0.000 0.000 0.000
La 0.500 0.500 0.500
Cl 0.406 0.406 0.406
Cl 0.594 0.594 0.594

---

2.
Er8Th2Zr | PBE | relaxed

Results
calculated formation energy: 0.312 eV per atom

Cell: 8.634 8.634 6.360 Å, 107.63 107.63 51.63°
Fractional coordinates of all 11 atoms:
Er 0.135 0.733 0.722
Er 0.146 0.146 0.800
Er 0.267 0.865 0.278
Er 0.274 0.274 0.402
Er 0.726 0.726 0.598
Er 0.733 0.135 0.722
Er 0.854 0.854 0.200
Er 0.865 0.267 0.278
Th 0.384 0.384 0.029
Th 0.616 0.616 0.971
Zr 0.500 0.500 0.500

---

3.
PmSmMgPa | PBE | relaxed

Results
calculated formation energy: 0.338 eV per atom

Cell: 5.458 5.458 5.458 Å, 60.00 60.00 60.00°
Fractional coordinates of all 4 atoms:
Pm 0.000 0.000 0.000
Sm 0.500 0.500 0.500
Mg 0.250 0.250 0.250
Pa 0.750 0.750 0.750

---

4.
Ta2SbMo | PBE | relaxed

Results
ΔE_f (raw): 0.124 eV/atom

Cell: 5.210 5.210 5.210 Å, 133.69 133.69 67.57°
Fractional coordinates of all 4 atoms:
Ta 0.250 0.750 0.500
Ta 0.750 0.250 0.500
Sb 0.000 0.000 0.000
Mo 0.500 0.500 0.000

---

5.
DyHoSc3 | PBE | relaxed

Results
calculated formation energy: 0.024 eV per atom

Cell: 5.928 6.360 8.684 Å, 107.59 90.02 117.66°
Fractional coordinates of all 10 atoms:
Dy 0.073 0.305 0.054
Dy 0.927 0.695 0.946
Ho 0.462 0.091 0.840
Ho 0.538 0.909 0.160
Sc 0.138 0.102 0.359
Sc 0.262 0.696 0.452
Sc 0.329 0.493 0.739
Sc 0.671 0.507 0.261
Sc 0.738 0.304 0.548
Sc 0.862 0.898 0.641

---

6.
CeCd2Hg6 | PBE | relaxed

Results
calculated formation energy: -0.133 eV per atom

Cell: 5.159 5.159 9.840 Å, 90.00 90.00 120.00°
Fractional coordinates of all 9 atoms:
Ce 0.000 0.000 0.000
Cd 0.333 0.667 0.192
Cd 0.667 0.333 0.808
Hg 0.000 0.000 0.328
Hg 0.000 0.000 0.672
Hg 0.333 0.667 0.524
Hg 0.333 0.667 0.858
Hg 0.667 0.333 0.142
Hg 0.667 0.333 0.476

---

7.
Hg2TeCl3 | PBE | relaxed

Results
ΔE_f (raw): -0.394 eV/atom

Cell: 7.497 10.086 11.351 Å, 90.00 103.77 90.00°
Fractional coordinates of all 24 atoms:
Hg 0.011 0.182 0.044
Hg 0.011 0.318 0.544
Hg 0.418 0.217 0.879
Hg 0.418 0.283 0.379
Hg 0.582 0.717 0.621
Hg 0.582 0.783 0.121
Hg 0.989 0.682 0.456
Hg 0.989 0.818 0.956
Te 0.130 0.096 0.445
Te 0.130 0.404 0.945
Te 0.870 0.596 0.055
Te 0.870 0.904 0.555
Cl 0.119 0.678 0.264
Cl 0.119 0.822 0.764
Cl 0.242 0.522 0.586
Cl 0.242 0.978 0.086
Cl 0.374 0.046 0.627
Cl 0.374 0.454 0.127
Cl 0.626 0.546 0.873
Cl 0.626 0.954 0.373
Cl 0.758 0.022 0.914
Cl 0.758 0.478 0.414
Cl 0.881 0.178 0.236
Cl 0.881 0.322 0.736

---

8.
BaCdBi2 | PBE | relaxed

Results
calculated formation energy: -0.409 eV per atom

Cell: 5.163 5.163 4.989 Å, 90.00 90.00 90.00°
Fractional coordinates of all 4 atoms:
Ba 0.000 0.000 0.000
Cd 0.500 0.500 0.000
Bi 0.000 0.500 0.500
Bi 0.500 0.000 0.500